Entry 1:
Crystalline Pa2FeSi2 at its relaxed geometry. Source: Alexandria via LeMat-Bulk, functional PBE-GGA.

- Symmetry: C2/m
- Total DFT energy (no corrections): -8.2410 eV/atom

Lattice parameters (Å, degrees): 3.7894 5.6363 9.5377 86.74 78.54 70.36
Fractional coordinates of all 10 atoms:
Pa1 0.7198 0.2030 0.3575
Pa2 0.8854 0.3323 0.8968
Pa3 0.2802 0.7970 0.6425
Pa4 0.1146 0.6677 0.1032
Si1 0.0301 0.3490 0.5908
Si2 0.9699 0.6510 0.4092
Si3 0.3839 0.1159 0.1163
Si4 0.6161 0.8841 0.8837
Fe1 0.4491 0.8091 0.2927
Fe2 0.5509 0.1909 0.7073

---

Entry 2:
Crystalline Pa2FeSi3 at its relaxed geometry. Source: Alexandria via LeMat-Bulk, functional PBE-GGA.

- Relative energy among the computed polymorphs: 0.000 eV per atom
- Symmetry: Fmmm
- Total DFT energy (no corrections): -7.9115 eV/atom

Lattice parameters (Å, degrees): 5.6248 5.6248 7.9125 110.44 110.44 90.99
Fractional coordinates of all 12 atoms:
Pa1 0.7500 0.2500 0.5000
Pa2 0.2585 0.2585 0.0000
Pa3 0.2500 0.7500 0.5000
Pa4 0.7415 0.7415 0.0000
Si1 0.3356 0.8348 0.1704
Si2 0.8289 0.8289 0.6578
Si3 0.6644 0.1652 0.8296
Si4 0.8348 0.3356 0.1704
Si5 0.1652 0.6644 0.8296
Si6 0.1711 0.1711 0.3422
Fe1 0.3365 0.3365 0.6730
Fe2 0.6635 0.6635 0.3270

---

Entry 3:
Crystalline Pa4FeSi8 at its relaxed geometry. Source: Alexandria via LeMat-Bulk, functional PBE-GGA.

- Symmetry: Pmm2
- Total DFT energy (no corrections): -7.3966 eV/atom

Lattice parameters (Å, degrees): 3.8895 3.9296 16.0676 90.00 90.00 90.00
Fractional coordinates of all 13 atoms:
Fe1 0.0000 0.0000 0.3183
Pa1 0.0000 0.0000 0.1071
Pa2 0.5000 0.0000 0.8914
Pa3 0.0000 0.5000 0.6090
Pa4 0.5000 0.5000 0.3929
Si1 0.0000 0.0000 0.7501
Si2 0.5000 0.5000 0.7503
Si3 0.5000 0.5000 0.0412
Si4 0.0000 0.5000 0.2428
Si5 0.5000 0.0000 0.5452
Si6 0.0000 0.5000 0.9529
Si7 0.0000 0.0000 0.4592
Si8 0.5000 0.0000 0.2426

---

Entry 4:
Crystalline PaFe3Si3 at its relaxed geometry. Source: Alexandria via LeMat-Bulk, functional PBE-GGA.

- Relative energy among the computed polymorphs: 0.433 eV per atom
- Symmetry: Pm-3n
- Total DFT energy (no corrections): -7.1301 eV/atom

Lattice parameters (Å, degrees): 6.2129 6.2129 6.2129 90.00 90.00 90.00
Each line ends with the local moment (μB).
Fractional coordinates of all 14 atoms:
Fe1 0.2500 0.0000 0.5000  1.50
Fe2 0.0000 0.5000 0.7500  1.50
Fe3 0.5000 0.7500 0.0000  1.50
Fe4 0.5000 0.2500 0.0000  1.50
Fe5 0.7500 0.0000 0.5000  1.50
Fe6 0.0000 0.5000 0.2500  1.50
Pa1 0.0000 0.0000 0.0000  0.78
Pa2 0.5000 0.5000 0.5000  0.78
Si1 0.0000 0.7500 0.5000  -0.04
Si2 0.0000 0.2500 0.5000  -0.04
Si3 0.5000 0.0000 0.7500  -0.04
Si4 0.2500 0.5000 0.0000  -0.04
Si5 0.7500 0.5000 0.0000  -0.04
Si6 0.5000 0.0000 0.2500  -0.04

---

Entry 5:
Crystalline Pa2FeSi3 at its relaxed geometry. Source: Alexandria via LeMat-Bulk, functional PBE-GGA.

- Relative energy among the computed polymorphs: 0.010 eV per atom
- Symmetry: Pmm2
- Total DFT energy (no corrections): -7.9016 eV/atom

Lattice parameters (Å, degrees): 3.8370 4.0769 6.9048 90.00 90.00 90.00
Fractional coordinates of all 6 atoms:
Si1 0.5000 0.0000 0.1731
Si2 0.5000 0.0000 0.8323
Si3 0.5000 0.5000 0.6597
Fe1 0.5000 0.5000 0.3288
Pa1 0.0000 0.0000 0.4907
Pa2 0.0000 0.5000 0.0152

---

Entry 6:
Crystalline Pa2Fe2Si at its relaxed geometry. Source: Alexandria via LeMat-Bulk, functional PBE-GGA.

- Symmetry: Immm
- Total DFT energy (no corrections): -8.7475 eV/atom

Lattice parameters (Å, degrees): 4.1816 5.4599 5.0516 122.71 114.45 90.00
Fractional coordinates of all 5 atoms:
Pa1 0.8015 0.3015 0.6031
Pa2 0.1985 0.6985 0.3969
Si1 0.0000 0.0000 0.0000
Fe1 0.5000 0.7574 0.0000
Fe2 0.5000 0.2426 0.0000

---

Entry 7:
Crystalline Pa3Fe4Si2 at its relaxed geometry. Source: Alexandria via LeMat-Bulk, functional PBE-GGA.

- Symmetry: C2/m
- Total DFT energy (no corrections): -8.5991 eV/atom

Lattice parameters (Å, degrees): 4.1345 4.8884 8.0286 92.50 90.00 115.02
Fractional coordinates of all 9 atoms:
Si1 0.6803 0.3606 0.7894
Si2 0.3197 0.6394 0.2106
Pa1 0.3759 0.7518 0.6122
Pa2 0.0000 0.0000 0.0000
Pa3 0.6241 0.2482 0.3878
Fe1 0.2705 0.5410 0.9134
Fe2 0.1021 0.2042 0.6421
Fe3 0.8979 0.7958 0.3579
Fe4 0.7295 0.4590 0.0866

---

Entry 8:
Crystalline Pa4FeSi3 at its relaxed geometry. Source: Alexandria via LeMat-Bulk, functional PBE-GGA.

- Symmetry: Pmm2
- Total DFT energy (no corrections): -8.2596 eV/atom

Lattice parameters (Å, degrees): 4.0575 3.8882 10.3231 90.00 90.00 90.00
Fractional coordinates of all 8 atoms:
Si1 0.0000 0.0000 0.4248
Si2 0.0000 0.5000 0.5750
Si3 0.5000 0.0000 0.9345
Pa1 0.5000 0.0000 0.6441
Pa2 0.0000 0.5000 0.8622
Pa3 0.5000 0.5000 0.3408
Pa4 0.0000 0.0000 0.1442
Fe1 0.5000 0.5000 0.0743

---

no.,calculated volume (Å³ per atom)
1,18.802
2,18.084
3,18.891
4,17.130
5,18.002
6,16.898
7,16.319
8,20.358